PBE RbCdTcSn2, optimized geometry; offset from the most stable computed form = 0 meV/atom; formation enthalpy at 0 K = -0.008 eV per atom; symmetry = P4/mmm (123)
1.0
-2.3729 4.3453 -1.5607
-0.3418 -1.9153 -4.8128
-4.8924 -2.2283 1.2342
Sn Tc Cd Rb
2 1 1 1
direct
0.0000 0.5000 0.0000
0.5000 0.0000 0.0000
0.0000 0.0000 0.0000
0.0000 0.0000 0.5000
0.5000 0.5000 0.5000